Sr2TbFe2O6 | PBE with a Hubbard U | relaxed

Calculated values
- Theoretical density: 4.9 g/cm³
- E_tot: -6.72 eV/atom
- Crystal system: trigonal

abc: 6.073 6.073 6.772
angles: 63.36 63.36 60.00
Fractional positions:
Tb 0.000 0.000 0.000
O 0.774 0.247 0.731
Fe 0.427 0.427 0.719
O 0.226 0.753 0.269
Sr 0.801 0.801 0.597
Fe 0.573 0.573 0.281
O 0.753 0.753 0.269
O 0.247 0.247 0.731
Sr 0.199 0.199 0.403
O 0.247 0.774 0.731
O 0.753 0.226 0.269